A plane-wave DFT calculation with GGA-PBEsol was carried out for crystalline La2Mg3 at its relaxed geometry.

Geometry as POSCAR:
```
La2Mg3
1.0
5.399 0.000 0.000
-2.699 4.676 0.000
0.000 0.000 6.747
La Mg
2 3
Cartesian
0.000 3.117 2.303 La
2.699 1.559 4.444 La
0.000 0.000 3.373 Mg
0.000 3.117 5.706 Mg
2.699 1.559 1.041 Mg
```

As for the space-group type: P-3m1 (164). The calculation puts the volume at 34.1 A^3/atom. The formation energy comes out at 129 kJ/mol of formula units.

***

A plane-wave DFT calculation with GGA-PBEsol was carried out for crystalline K7Hg31 at its relaxed geometry.

Geometry as POSCAR:
```
K7Hg31
1.0
10.588 0.000 0.000
-5.294 9.170 0.000
0.000 0.000 10.250
K Hg
7 31
Cartesian
0.000 0.000 0.000 K
0.000 3.086 5.125 K
-2.621 7.627 5.125 K
0.000 6.113 0.000 K
2.621 7.627 5.125 K
5.294 3.057 2.009 K
5.294 3.057 8.240 K
0.000 0.000 3.620 Hg
0.000 0.000 6.629 Hg
-2.366 4.747 2.675 Hg
-2.366 4.747 7.575 Hg
0.000 2.876 1.821 Hg
0.000 2.876 8.428 Hg
-2.804 7.732 1.821 Hg
-2.804 7.732 8.428 Hg
2.551 1.473 3.181 Hg
2.551 1.473 7.068 Hg
0.000 6.113 3.668 Hg
0.000 6.113 6.581 Hg
3.802 0.524 0.000 Hg
2.355 3.030 0.000 Hg
2.366 4.747 2.675 Hg
2.366 4.747 7.575 Hg
0.000 8.845 2.675 Hg
0.000 8.845 7.575 Hg
5.294 1.286 5.125 Hg
3.761 3.942 5.125 Hg
6.787 0.524 0.000 Hg
3.847 5.615 0.000 Hg
2.804 7.732 1.821 Hg
2.804 7.732 8.428 Hg
8.038 1.473 3.181 Hg
8.038 1.473 7.068 Hg
5.294 6.224 3.181 Hg
5.294 6.224 7.068 Hg
6.827 3.942 5.125 Hg
8.234 3.030 0.000 Hg
6.741 5.615 0.000 Hg
```

As for the space-group type: P-6m2 (187). The calculation puts the volume at 26.2 A^3/atom. The formation energy comes out at -654 kJ/mol of formula units.

***

A plane-wave DFT calculation with GGA-PBEsol was carried out for crystalline PdRhO2 at its relaxed geometry.

Geometry as POSCAR:
```
PdRhO2
1.0
0.000 2.736 2.736
2.736 0.000 2.736
2.736 2.736 0.000
Pd Rh O
1 1 2
Cartesian
0.000 0.000 0.000 Pd
2.736 2.736 2.736 Rh
1.368 1.368 1.368 O
4.104 4.104 4.104 O
```

As for the space-group type: Fm-3m (225). The calculation puts the volume at 10.2 A^3/atom. As for the uncorrected formation energy: 355.2 meV/atom.

***

A plane-wave DFT calculation with GGA-PBEsol was carried out for crystalline As2P at its relaxed geometry.

Geometry as POSCAR:
```
As2P
1.0
6.567 -1.755 0.000
6.567 1.755 0.000
-3.636 0.000 6.426
As P
4 2
Cartesian
-0.674 0.000 2.710 As
4.028 0.000 0.465 As
5.471 0.000 5.961 As
10.173 0.000 3.715 As
2.687 0.000 2.409 P
6.812 0.000 4.017 P
```

As for the space-group type: C2/m (12). The calculation puts the volume at 24.7 A^3/atom. Its excess energy over the best structure of this formula in the dataset is 0.0 kJ/mol of atoms. The formation energy comes out at 32 kJ/mol of formula units.

***

A plane-wave DFT calculation with GGA-PBEsol was carried out for crystalline Ba4ZrO6 at its relaxed geometry.

Geometry as POSCAR:
```
Ba4ZrO6
1.0
5.185 2.993 4.293
-5.185 2.993 4.293
0.000 -5.987 4.293
Ba Zr O
8 2 12
Cartesian
-3.309 0.255 5.366 Ba
0.000 0.000 3.219 Ba
-1.875 -2.739 7.512 Ba
1.434 -2.993 5.366 Ba
-1.434 2.993 7.512 Ba
1.875 2.739 5.366 Ba
0.000 0.000 9.658 Ba
3.309 -0.255 7.512 Ba
0.000 0.000 0.000 Zr
0.000 0.000 6.439 Zr
-4.495 -1.403 7.341 O
-1.032 -4.594 5.537 O
-1.032 -1.393 5.195 O
-3.463 3.191 5.537 O
-0.690 1.590 5.195 O
-1.722 0.197 7.683 O
1.722 -0.197 5.195 O
0.690 -1.590 7.683 O
3.463 -3.191 7.341 O
1.032 1.393 7.683 O
1.032 4.594 7.341 O
4.495 1.403 5.537 O
```

As for the space-group type: R-3c (167). The calculation puts the volume at 18.2 A^3/atom. As for the uncorrected formation energy: -2841.2 meV/atom.

***

A plane-wave DFT calculation with GGA-PBEsol was carried out for crystalline Zr4Hg3 at its relaxed geometry.

Geometry as POSCAR:
```
Zr4Hg3
1.0
-1.567 1.567 15.153
1.567 -1.567 15.153
1.567 1.567 -15.153
Zr Hg
4 3
Cartesian
0.000 0.000 2.150 Zr
0.000 0.000 10.742 Zr
0.000 0.000 19.565 Zr
0.000 0.000 28.156 Zr
0.000 0.000 6.514 Hg
0.000 0.000 15.153 Hg
0.000 0.000 23.793 Hg
```

As for the space-group type: I4/mmm (139). The calculation puts the volume at 21.3 A^3/atom. The formation energy comes out at -136 kJ/mol of formula units.

***

A plane-wave DFT calculation with GGA-PBEsol was carried out for crystalline YHOs3 at its relaxed geometry.

Geometry as POSCAR:
```
YHOs3
1.0
4.840 0.000 0.000
0.000 4.840 0.000
0.000 0.000 4.840
Y H Os
1 1 3
Cartesian
0.000 0.000 0.000 Y
2.420 2.420 2.420 H
0.000 0.000 2.420 Os
0.000 2.420 0.000 Os
2.420 0.000 0.000 Os
```

As for the space-group type: Pm-3m (221). The calculation puts the volume at 22.7 A^3/atom. The value obtained for the electronic total energy is -27.9 eV/cell.

***

A plane-wave DFT calculation with GGA-PBEsol was carried out for crystalline MgTlZn2 at its relaxed geometry.

Geometry as POSCAR:
```
MgTlZn2
1.0
3.271 0.000 0.000
0.000 3.956 0.000
0.000 0.000 6.002
Mg Tl Zn
1 1 2
Cartesian
0.000 0.000 0.000 Mg
0.000 0.000 3.001 Tl
1.635 1.978 1.345 Zn
1.635 1.978 4.657 Zn
```

As for the space-group type: Pmmm (47). The calculation puts the volume at 19.4 A^3/atom. Its excess energy over the best structure of this formula in the dataset is 2.2 kJ/mol of atoms. The formation energy comes out at 32 kJ/mol of formula units.

***

A plane-wave DFT calculation with GGA-PBEsol was carried out for crystalline BiCl3F at its relaxed geometry.

Geometry as POSCAR:
```
BiCl3F
1.0
4.642 0.000 0.000
0.000 4.642 0.000
0.000 0.000 4.642
Bi Cl F
1 3 1
Cartesian
0.000 0.000 0.000 Bi
0.000 2.321 2.321 Cl
2.321 0.000 2.321 Cl
2.321 2.321 0.000 Cl
2.321 2.321 2.321 F
```

As for the space-group type: Pm-3m (221). The calculation puts the volume at 20.0 A^3/atom. As for the uncorrected formation energy: 6.5 meV/atom.

***

A plane-wave DFT calculation with GGA-PBEsol was carried out for crystalline LiNbSbI2 at its relaxed geometry.

Geometry as POSCAR:
```
LiNbSbI2
1.0
5.633 0.000 0.000
0.000 5.633 0.000
0.000 0.000 5.338
Li Nb Sb I
1 1 1 2
Cartesian
0.000 0.000 0.000 Li
2.817 2.817 2.669 Nb
2.817 2.817 0.000 Sb
0.000 2.817 2.669 I
2.817 0.000 2.669 I
```

As for the space-group type: P4/mmm (123). The calculation puts the volume at 33.9 A^3/atom. As for the uncorrected formation energy: 57.2 meV/atom.

***

A plane-wave DFT calculation with GGA-PBEsol was carried out for crystalline KCuBiOs2 at its relaxed geometry.

Geometry as POSCAR:
```
KCuBiOs2
1.0
4.580 0.000 0.000
0.000 4.580 0.000
0.000 0.000 5.369
K Cu Bi Os
1 1 1 2
Cartesian
0.000 0.000 0.000 K
2.290 2.290 2.685 Cu
0.000 0.000 2.685 Bi
0.000 2.290 0.000 Os
2.290 0.000 0.000 Os
```

As for the space-group type: P4/mmm (123). The calculation puts the volume at 22.5 A^3/atom. The formation energy comes out at 1638 kJ/mol of formula units.

***

A plane-wave DFT calculation with GGA-PBEsol was carried out for crystalline NaCa5ScZn5Si12O36 at its relaxed geometry.

Geometry as POSCAR:
```
NaCa5ScZn5Si12O36
1.0
4.921 -4.471 0.000
4.921 4.471 0.000
-4.366 0.000 15.223
Na Ca Sc Zn Si O
1 5 1 5 12 36
Cartesian
0.000 0.000 0.000 Na
3.460 4.446 5.099 Ca
2.016 4.446 10.124 Ca
4.127 0.891 2.599 Ca
2.738 0.847 7.612 Ca
1.349 0.891 12.624 Ca
4.921 -1.015 0.000 Sc
3.459 -0.990 5.065 Zn
2.017 -0.990 10.158 Zn
2.738 -2.653 7.612 Zn
4.192 -2.738 2.543 Zn
1.284 -2.738 12.680 Zn
-0.064 1.827 10.054 Si
-1.486 1.847 15.120 Si
1.381 1.806 4.988 Si
1.342 -0.974 2.623 Si
-1.575 -0.995 12.758 Si
-0.103 -0.986 7.711 Si
6.963 1.847 0.103 Si
5.540 1.827 5.169 Si
4.095 1.806 10.236 Si
5.580 -0.986 7.512 Si
4.135 -0.974 12.600 Si
7.051 -0.995 2.465 Si
0.190 2.827 11.399 O
1.635 2.809 6.330 O
3.076 2.770 1.291 O
0.910 2.493 8.863 O
2.363 2.485 3.811 O
-0.527 2.470 13.916 O
-2.168 0.410 12.287 O
-0.701 0.426 7.243 O
0.810 0.472 2.203 O
0.539 0.418 10.525 O
1.984 0.399 5.457 O
3.492 0.424 0.355 O
5.286 2.827 3.824 O
3.841 2.809 8.893 O
2.401 2.770 13.933 O
4.566 2.493 6.360 O
3.114 2.485 11.412 O
6.003 2.470 1.307 O
-0.017 -0.985 13.217 O
1.451 -1.020 8.153 O
2.908 -1.046 3.059 O
1.985 0.424 14.868 O
4.937 0.418 4.698 O
3.492 0.399 9.766 O
3.597 -2.559 0.544 O
2.173 -2.620 5.610 O
0.728 -2.619 10.678 O
5.494 -0.985 2.006 O
4.026 -1.020 7.070 O
2.569 -1.046 12.164 O
4.666 0.472 13.020 O
6.177 0.426 7.981 O
7.644 0.410 2.937 O
1.879 -2.559 14.680 O
4.748 -2.619 4.546 O
3.303 -2.620 9.613 O
```

As for the space-group type: C2 (5). The calculation puts the volume at 11.2 A^3/atom. As for the uncorrected formation energy: -2695.7 meV/atom.

***

A plane-wave DFT calculation with GGA-PBEsol was carried out for crystalline InSbCl at its relaxed geometry.

Geometry as POSCAR:
```
InSbCl
1.0
5.044 0.000 0.000
-2.522 4.369 0.000
0.000 0.000 3.318
In Sb Cl
1 1 1
Cartesian
0.000 0.000 0.000 In
2.522 1.456 0.000 Sb
0.000 2.912 1.659 Cl
```

As for the space-group type: P-6m2 (187). The calculation puts the volume at 24.4 A^3/atom. Its excess energy over the best structure of this formula in the dataset is 0.0 kJ/mol of atoms. As for the uncorrected formation energy: -203.8 meV/atom.

***

A plane-wave DFT calculation with GGA-PBEsol was carried out for crystalline LaRh at its relaxed geometry.

Geometry as POSCAR:
```
LaRh
1.0
4.361 0.000 0.000
-2.180 3.777 0.000
0.000 0.000 5.777
La Rh
2 2
Cartesian
0.000 2.518 1.444 La
2.180 1.259 4.333 La
0.000 0.000 0.000 Rh
0.000 0.000 2.889 Rh
```

As for the space-group type: P6_3/mmc (194). The calculation puts the volume at 23.8 A^3/atom. The formation energy comes out at -133 kJ/mol of formula units.

***

A plane-wave DFT calculation with GGA-PBEsol was carried out for crystalline TlCl3 at its relaxed geometry.

Geometry as POSCAR:
```
TlCl3
1.0
2.083 1.203 6.467
-2.083 1.203 6.467
0.000 -2.406 6.467
Tl Cl
1 3
Cartesian
0.000 0.000 0.000 Tl
0.000 0.000 5.104 Cl
0.000 0.000 9.701 Cl
0.000 0.000 14.297 Cl
```

As for the space-group type: R-3m (166). The calculation puts the volume at 24.3 A^3/atom. As for the uncorrected formation energy: -268.9 meV/atom.

***

A plane-wave DFT calculation with GGA-PBEsol was carried out for crystalline Ta2RuAu at its relaxed geometry.

Geometry as POSCAR:
```
Ta2RuAu
1.0
-2.004 2.004 3.975
2.004 -2.004 3.975
2.004 2.004 -3.975
Ta Ru Au
2 1 1
Cartesian
2.004 0.000 1.988 Ta
0.000 2.004 1.988 Ta
0.000 0.000 0.000 Ru
0.000 0.000 3.975 Au
```

As for the space-group type: I4/mmm (139). The calculation puts the volume at 16.0 A^3/atom. Its excess energy over the best structure of this formula in the dataset is 0.0 kJ/mol of atoms. The formation energy comes out at -74 kJ/mol of formula units.

***

A plane-wave DFT calculation with GGA-PBEsol was carried out for crystalline LiAl2Cd at its relaxed geometry.

Geometry as POSCAR:
```
LiAl2Cd
1.0
4.026 0.000 0.000
0.000 4.026 0.000
0.000 0.000 4.242
Li Al Cd
1 2 1
Cartesian
0.000 0.000 0.000 Li
0.000 2.013 2.121 Al
2.013 0.000 2.121 Al
2.013 2.013 0.000 Cd
```

As for the space-group type: P4/mmm (123). The calculation puts the volume at 17.2 A^3/atom. The formation energy comes out at -30 kJ/mol of formula units.

***

A plane-wave DFT calculation with GGA-PBEsol was carried out for crystalline NaHOs3 at its relaxed geometry.

Geometry as POSCAR:
```
NaHOs3
1.0
3.930 0.000 0.000
0.000 3.930 0.000
0.000 0.000 3.930
Na H Os
1 1 3
Cartesian
0.000 0.000 0.000 Na
1.965 1.965 1.965 H
0.000 1.965 1.965 Os
1.965 0.000 1.965 Os
1.965 1.965 0.000 Os
```

As for the space-group type: Pm-3m (221). The calculation puts the volume at 12.1 A^3/atom. The value obtained for the electronic total energy is -36.3 eV/cell.

***

A plane-wave DFT calculation with GGA-PBEsol was carried out for crystalline SiP2O7 at its relaxed geometry.

Geometry as POSCAR:
```
SiP2O7
1.0
4.739 0.000 0.000
-2.369 4.104 0.000
0.000 0.000 12.050
Si P O
2 4 14
Cartesian
0.000 0.000 0.000 Si
0.000 0.000 6.025 Si
0.000 2.736 1.444 P
0.000 2.736 4.581 P
2.369 1.368 7.469 P
2.369 1.368 10.607 P
-0.477 1.351 1.038 O
-0.477 1.351 4.987 O
-0.961 3.842 1.038 O
-0.961 3.842 4.987 O
0.931 1.089 7.063 O
0.931 1.089 11.013 O
0.000 2.736 3.013 O
2.369 1.368 9.038 O
1.438 3.015 1.038 O
1.438 3.015 4.987 O
3.330 0.262 7.063 O
3.330 0.262 11.013 O
2.847 2.753 7.063 O
2.847 2.753 11.013 O
```

As for the space-group type: P6_3/m (176). The calculation puts the volume at 11.7 A^3/atom. Its excess energy over the best structure of this formula in the dataset is 0.0 kJ/mol of atoms. As for the uncorrected formation energy: -2353.3 meV/atom.

***

A plane-wave DFT calculation with GGA-PBEsol was carried out for crystalline ReTc2Sb at its relaxed geometry.

Geometry as POSCAR:
```
ReTc2Sb
1.0
1.449 0.837 8.679
-1.449 0.837 8.679
0.000 -1.673 8.679
Re Tc Sb
1 2 1
Cartesian
0.000 0.000 0.000 Re
0.000 0.000 12.809 Tc
0.000 0.000 19.427 Tc
0.000 0.000 6.366 Sb
```

As for the space-group type: R3m (160). The calculation puts the volume at 15.8 A^3/atom. As for the uncorrected formation energy: 388.2 meV/atom.